Sm2ScZn9 | PBE | relaxed

Its symmetry is R-3m, No. 166. As for the density of states at the Fermi level: 6.14 states/eV per cell. Its energy is -2.527 eV per atom.

a = 5.4222 Å, b = 5.4222 Å, c = 9.1788 Å
α = 72.82°, β = 72.82°, γ = 60.00°
Last column: nearest neighbours and their distance in Å.
Sites, in units of the cell vectors:
Zn: 0.4175 0.4175 0.2413  7 Zn 2.59-2.75
Zn: 0.5825 0.5825 0.7587  7 Zn 2.59-2.75
Zn: 0.5825 0.0762 0.7587  7 Zn 2.59-2.75
Zn: 0.3345 0.3345 0.9964  6 Zn 2.59-2.62
Sm: 0.1389 0.1389 0.5834  12 Zn 3.10-3.33, 3 Sm 3.45
Zn: 0.0762 0.5825 0.7587  7 Zn 2.59-2.75
Zn: 0.5000 0.5000 0.5000  6 Zn 2.74
Sm: 0.8611 0.8611 0.4166  12 Zn 3.10-3.33, 3 Sm 3.45
Zn: 0.4175 0.9238 0.2413  7 Zn 2.59-2.75
Zn: 0.6655 0.6655 0.0036  6 Zn 2.59-2.62
Sc: 0.0000 0.0000 0.0000  18 Zn 3.13-3.42
Zn: 0.9238 0.4175 0.2413  7 Zn 2.59-2.75